# 1
Here is a geometry-optimized Sm3Ho2Tl4 structure from Alexandria via LeMat-Bulk. Energies are from PBE-GGA.

Lattice parameters (Å, degrees): 5.344 5.344 10.481 90.03 90.03 60.04
Atoms (fractional coordinates):
Ho1 0.333 0.333 0.222
Tl1 0.333 0.333 0.898
Sm1 0.333 0.333 0.578
Tl2 0.667 0.667 0.102
Sm2 0.667 0.667 0.422
Tl3 0.000 0.000 0.343
Sm3 0.000 0.000 0.000
Tl4 0.000 0.000 0.657
Ho2 0.667 0.667 0.778

As for the space group: P-3m1, No. 164. The value obtained for the energy of formation is -0.30 eV/atom. The total energy comes out at -3.9417 eV per atom.

# 2
Here is a geometry-optimized NdDyBr3 structure from Alexandria via LeMat-Bulk. Energies are from PBE-GGA.

Lattice parameters (Å, degrees): 3.963 9.406 10.229 72.51 78.83 77.84
Atoms (fractional coordinates):
Br1 0.336 0.819 0.508
Nd1 0.862 0.990 0.286
Br2 0.964 0.323 0.750
Br3 0.664 0.181 0.492
Nd2 0.138 0.010 0.714
Br4 0.212 0.692 0.884
Br5 0.788 0.308 0.116
Dy1 0.427 0.187 0.958
Dy2 0.573 0.813 0.042
Br6 0.036 0.677 0.250

As for the formation energy from raw total energies: -1513 meV/atom. As for the space group: C2/m, No. 12. The total energy comes out at -4.3907 eV per atom.

# 3
Here is a geometry-optimized HoCoGe3Os structure from Alexandria via LeMat-Bulk. Energies are from PBE-GGA.

Lattice parameters (Å, degrees): 5.444 7.445 7.112 121.56 90.00 90.00
Atoms (fractional coordinates):
Ge1 0.000 0.240 0.000
Ge2 0.000 0.760 0.000
Ge3 0.500 0.240 0.000
Ge4 0.500 0.760 0.000
Co1 0.750 0.945 0.890
Ho1 0.250 0.686 0.372
Ge5 0.250 0.233 0.465
Os1 0.750 0.575 0.151
Os2 0.250 0.425 0.849
Co2 0.250 0.055 0.110
Ho2 0.750 0.314 0.628
Ge6 0.750 0.767 0.535

As for the space group: Cmcm, No. 63. The value obtained for the energy of formation is -0.11 eV/atom. The total energy comes out at -6.2331 eV per atom.

# 4
Here is a geometry-optimized LiAg7Sn4 structure from Alexandria via LeMat-Bulk. Energies are from PBE-GGA.

Lattice parameters (Å, degrees): 4.977 9.368 6.293 83.59 66.71 74.60
Atoms (fractional coordinates):
Ag1 0.639 0.473 0.249
Ag2 0.361 0.527 0.751
Sn1 0.273 0.310 0.144
Ag3 0.788 0.921 0.503
Sn2 0.593 0.231 0.583
Sn3 0.727 0.690 0.856
Ag4 0.072 0.675 0.181
Ag5 0.212 0.079 0.497
Ag6 0.928 0.325 0.819
Li1 0.000 0.000 0.000
Ag7 0.500 0.000 0.000
Sn4 0.407 0.769 0.417

As for the space group: C2/m, No. 12. The value obtained for the energy of formation is 0.04 eV/atom. The total energy comes out at -3.1196 eV per atom.

no.,magnetic moment (μB/atom)
1,0.0000
2,0.0000
3,0.0000
4,0.0000